Compound: MnZn4Pd7
Source: the Alexandria database
Functional: GGA-PBE
Structure: relaxed

Computed properties:
The value obtained for the formation energy from the elements is -0.183 eV/atom.

Geometry as POSCAR:
```
MnZn4Pd7
1.0
5.857 -2.309 0.000
5.857 2.309 0.000
-5.191 0.000 7.257
Mn Zn Pd
1 4 7
Cartesian
0.000 0.000 0.000
-0.050 0.000 4.817
3.881 0.000 1.609
2.642 0.000 5.648
6.573 0.000 2.440
-0.895 0.000 2.429
-2.050 0.000 6.389
1.891 0.000 3.073
5.857 0.000 0.000
4.632 0.000 4.184
8.573 0.000 0.868
7.419 0.000 4.828
```

=====

Compound: CaHfIO2
Source: the Alexandria database
Functional: GGA-PBE
Structure: relaxed

Computed properties:
The calculation puts the formation energy from raw total energies at -173 kJ/mol of formula units.

Geometry as POSCAR:
```
CaHfIO2
1.0
4.356 0.000 0.000
0.000 4.356 0.000
0.000 0.000 5.581
Ca Hf I O
1 1 1 2
Cartesian
0.000 0.000 0.000
2.178 2.178 2.791
0.000 0.000 2.791
0.000 2.178 0.000
2.178 0.000 0.000
```

=====

Compound: PaTlSN
Source: the Alexandria database
Functional: GGA-PBE
Structure: relaxed

Computed properties:
The calculation puts the formation energy from raw total energies at -429 kJ/mol of formula units.

Geometry as POSCAR:
```
PaTlSN
1.0
3.732 0.000 0.000
1.866 3.235 0.000
1.831 1.022 7.888
Pa Tl S N
1 1 1 1
Cartesian
0.000 0.000 0.000
1.842 1.049 3.538
3.698 2.102 6.177
3.731 2.155 0.641
```

=====

> What is the formula in the second record?

CaHfIO2

=====

Copy entry 3 word for word.
Compound: PaTlSN
Source: the Alexandria database
Functional: GGA-PBE
Structure: relaxed

Computed properties:
The calculation puts the formation energy from raw total energies at -429 kJ/mol of formula units.

Geometry as POSCAR:
```
PaTlSN
1.0
3.732 0.000 0.000
1.866 3.235 0.000
1.831 1.022 7.888
Pa Tl S N
1 1 1 1
Cartesian
0.000 0.000 0.000
1.842 1.049 3.538
3.698 2.102 6.177
3.731 2.155 0.641
```